## LiEuTmAl (GGA-PBE)

Data for a relaxed structure of LiEuTmAl.

Properties
space group	F-43m, No. 216
E_tot	-5.2129	eV per atom
energy of formation from the pure elements	-112	meV per atom
total moment	7.15	μB per cell

a b c (Å): 5.258 5.258 5.258
angles (deg): 60.00 60.00 60.00
Site moments in Bohr magnetons follow the coordinates.
Atoms (fractional coordinates):
Al  0.500  0.500  0.500  0.02
Li  0.000  0.000  0.000  -0.02
Eu  0.750  0.750  0.750  -6.82
Tm  0.250  0.250  0.250  -0.06

## NdPu2Au6 (GGA-PBE)

Data for a relaxed structure of NdPu2Au6.

Properties
space group	P6/mmm, No. 191
E_tot	-6.4643	eV per atom
energy of formation from the pure elements	-565	meV per atom
total moment	11.87	μB per cell

a b c (Å): 3.251 8.424 8.424
angles (deg): 120.00 90.00 90.00
Site moments in Bohr magnetons follow the coordinates.
Atoms (fractional coordinates):
Au  0.500  0.000  0.666  0.02
Au  0.500  0.334  0.000  0.02
Au  0.500  0.000  0.334  0.02
Au  0.500  0.334  0.334  0.02
Au  0.500  0.666  0.000  0.02
Au  0.500  0.666  0.666  0.02
Pu  0.000  0.333  0.667  5.46
Pu  0.000  0.667  0.333  5.46
Nd  0.000  0.000  0.000  0.04

## ScCdP2 (GGA-PBE)

Data for a relaxed structure of ScCdP2.

Properties
space group	I-4m2, No. 119
E_tot	-4.8861	eV per atom
energy of formation from the pure elements	-370	meV per atom
total moment	0.00	μB per cell

a b c (Å): 5.723 5.723 5.723
angles (deg): 141.26 141.26 55.94
Atoms (fractional coordinates):
Cd  0.750  0.250  0.500
P  0.000  0.000  0.000
P  0.250  0.750  0.500
Sc  0.500  0.500  0.000

## Y2TmSe2S2 (GGA-PBE)

Data for a relaxed structure of Y2TmSe2S2.

Properties
space group	I4/mmm, No. 139
E_tot	-6.1944	eV per atom
formation energy without anion corrections	-1533.9	meV per atom
total moment	0.01	μB per cell

a b c (Å): 5.018 5.018 8.056
angles (deg): 108.15 108.15 90.00
Atoms (fractional coordinates):
S  0.000  0.500  0.000
S  0.500  0.000  0.000
Se  0.189  0.189  0.378
Se  0.811  0.811  0.622
Y  0.380  0.380  0.759
Y  0.620  0.620  0.241
Tm  0.000  0.000  0.000

## BeRhN2O (GGA-PBE)

Data for a relaxed structure of BeRhN2O.

Properties
space group	P4/mmm, No. 123
E_tot	-5.7098	eV per atom
formation energy without anion corrections	827.6	meV per atom
total moment	0.00	μB per cell

a b c (Å): 3.432 3.432 3.576
angles (deg): 90.00 90.00 90.00
Atoms (fractional coordinates):
O  0.000  0.000  0.500
N  0.500  0.000  0.000
N  0.000  0.500  0.000
Be  0.000  0.000  0.000
Rh  0.500  0.500  0.500

## CoGeSe2N (GGA-PBE)

Data for a relaxed structure of CoGeSe2N.

Properties
space group	P4/mmm, No. 123
E_tot	-5.0771	eV per atom
formation energy without anion corrections	326.4	meV per atom
total moment	0.00	μB per cell

a b c (Å): 5.000 5.000 3.402
angles (deg): 90.00 90.00 90.00
Atoms (fractional coordinates):
Se  0.500  0.000  0.000
Se  0.000  0.500  0.000
N  0.000  0.000  0.500
Co  0.000  0.000  0.000
Ge  0.500  0.500  0.500

## VSi2Ni2 (GGA-PBE)

Data for a relaxed structure of VSi2Ni2.

Properties
space group	P4/mbm, No. 127
E_tot	-6.7362	eV per atom
formation energy without anion corrections	-430.8	meV per atom
total moment	0.12	μB per cell

a b c (Å): 6.749 6.749 2.599
angles (deg): 90.00 90.00 90.00
Atoms (fractional coordinates):
V  0.000  0.000  0.000
V  0.500  0.500  0.000
Si  0.153  0.347  0.000
Si  0.653  0.153  0.000
Si  0.347  0.847  0.000
Si  0.847  0.653  0.000
Ni  0.357  0.143  0.500
Ni  0.857  0.357  0.500
Ni  0.643  0.857  0.500
Ni  0.143  0.643  0.500

## TaSi (GGA-PBE)

Data for a relaxed structure of TaSi.

Properties
space group	R-3m, No. 166
E_tot	-8.5795	eV per atom
formation energy without anion corrections	58.3	meV per atom
total moment	0.00	μB per cell

a b c (Å): 8.872 8.872 8.872
angles (deg): 19.11 19.11 19.11
Atoms (fractional coordinates):
Ta  0.493  0.493  0.493
Ta  0.257  0.257  0.257
Si  0.746  0.746  0.746
Si  0.004  0.004  0.004

## Li2TaTe (GGA-PBE)

Data for a relaxed structure of Li2TaTe.

Properties
space group	I4/mmm, No. 139
E_tot	-4.4657	eV per atom
formation energy without anion corrections	239.8	meV per atom
total moment	0.00	μB per cell

a b c (Å): 5.662 5.662 5.662
angles (deg): 139.27 139.27 58.96
Atoms (fractional coordinates):
Li  0.000  0.000  0.000
Li  0.500  0.500  0.000
Ta  0.250  0.750  0.500
Te  0.750  0.250  0.500

## Ce2NiSe3 (GGA-PBE)

Data for a relaxed structure of Ce2NiSe3.

Properties
space group	Immm, No. 71
E_tot	-6.0363	eV per atom
formation energy without anion corrections	-1352.5	meV per atom
total moment	1.75	μB per cell

a b c (Å): 3.955 4.569 8.338
angles (deg): 105.90 103.72 90.00
Site moments in Bohr magnetons follow the coordinates.
Atoms (fractional coordinates):
Ni  0.000  0.000  0.000  -0.08
Ce  0.362  0.362  0.724  0.83
Ce  0.638  0.638  0.276  0.83
Se  0.833  0.833  0.665  -0.03
Se  0.167  0.167  0.335  -0.03
Se  0.000  0.500  0.000  -0.02

## Sr2Tc2As (GGA-PBE)

Data for a relaxed structure of Sr2Tc2As.

Properties
space group	P4/mbm, No. 127
E_tot	-4.9991	eV per atom
energy of formation from the pure elements	750	meV per atom
total moment	0.00	μB per cell

a b c (Å): 9.061 9.061 3.252
angles (deg): 90.00 90.00 90.00
Atoms (fractional coordinates):
Tc  0.417  0.083  0.500
Tc  0.917  0.417  0.500
Tc  0.083  0.583  0.500
Tc  0.583  0.917  0.500
Sr  0.802  0.698  0.000
Sr  0.698  0.198  0.000
Sr  0.198  0.302  0.000
Sr  0.302  0.802  0.000
As  0.500  0.500  0.000
As  0.000  0.000  0.000

## AcPuAg (GGA-PBE)

Data for a relaxed structure of AcPuAg.

Properties
space group	C2/m, No. 12
E_tot	-6.8253	eV per atom
energy of formation from the pure elements	272	meV per atom
total moment	1.06	μB per cell

a b c (Å): 3.573 5.548 9.259
angles (deg): 103.47 90.00 108.79
Site moments in Bohr magnetons follow the coordinates.
Atoms (fractional coordinates):
Pu  0.822  0.644  0.029  0.48
Pu  0.178  0.356  0.971  0.48
Ag  0.428  0.857  0.805  0.01
Ag  0.572  0.143  0.195  0.01
Ac  0.668  0.335  0.644  0.01
Ac  0.332  0.665  0.356  0.01

## FeTcHg2 (GGA-PBE)

Data for a relaxed structure of FeTcHg2.

Properties
space group	F-43m, No. 216
E_tot	-4.1224	eV per atom
energy of formation from the pure elements	736	meV per atom
total moment	4.06	μB per cell

a b c (Å): 4.621 4.621 4.621
angles (deg): 60.00 60.00 60.00
Site moments in Bohr magnetons follow the coordinates.
Atoms (fractional coordinates):
Tc  0.750  0.750  0.750  1.14
Hg  0.000  0.000  0.000  0.01
Hg  0.250  0.250  0.250  -0.02
Fe  0.500  0.500  0.500  2.83

## PmDyEr2 (GGA-PBE)

Data for a relaxed structure of PmDyEr2.

Properties
space group	R3m, No. 160
E_tot	-4.6019	eV per atom
energy of formation from the pure elements	18	meV per atom
total moment	0.00	μB per cell

a b c (Å): 3.572 3.572 11.668
angles (deg): 81.20 81.20 60.00
Atoms (fractional coordinates):
Dy  0.666  0.666  0.001
Er  0.082  0.082  0.754
Er  0.251  0.251  0.247
Pm  0.500  0.500  0.499